1.
# ErCdInAg | Alexandria | PBE-GGA | optimized geometry
data_ErCdInAg
_cell_length_a 7.0756
_cell_length_b 7.0756
_cell_length_c 7.0756
_cell_angle_alpha 90.00
_cell_angle_beta 90.00
_cell_angle_gamma 90.00
_space_group_name_H-M_alt 'F -4 3 m'
_space_group_IT_number 216
_space_group_name_Hall 'F -4 2 3'
loop_
_atom_site_label
_atom_site_type_symbol
_atom_site_fract_x
_atom_site_fract_y
_atom_site_fract_z
Er1 Er 0.0000 0.0000 0.0000
Cd1 Cd 0.2500 0.2500 0.2500
In1 In 0.0000 0.0000 0.5000
Ag1 Ag 0.2500 0.2500 0.7500
# Magnetization in μB per formula unit: 0.000
# ΔE_f in eV per atom: -0.268
# V in Å³ per cell: 354
# Total energy in eV/atom: -3.035

=====

2.
# CuBH3 | Alexandria | PBE-GGA | optimized geometry
data_CuBH3
_cell_length_a 3.3409
_cell_length_b 3.3409
_cell_length_c 3.3409
_cell_angle_alpha 90.00
_cell_angle_beta 90.00
_cell_angle_gamma 90.00
_space_group_name_H-M_alt 'P m -3 m'
_space_group_IT_number 221
_space_group_name_Hall '-P 4 2 3'
loop_
_atom_site_label
_atom_site_type_symbol
_atom_site_fract_x
_atom_site_fract_y
_atom_site_fract_z
Cu1 Cu 0.0000 0.0000 0.0000
B1 B 0.5000 0.5000 0.5000
H1 H 0.0000 0.0000 0.5000
# Magnetization in μB per formula unit: 0.000
# V in Å³ per cell: 37
# Total energy in eV/atom: -3.020
# Relative energy among the computed polymorphs in meV/atom: 301

=====

3.
# HfFe3Pb | Alexandria | PBE-GGA | optimized geometry
data_HfFe3Pb
_cell_length_a 4.6967
_cell_length_b 4.6967
_cell_length_c 4.6967
_cell_angle_alpha 90.00
_cell_angle_beta 90.00
_cell_angle_gamma 90.00
_space_group_name_H-M_alt 'P m -3 m'
_space_group_IT_number 221
_space_group_name_Hall '-P 4 2 3'
loop_
_atom_site_label
_atom_site_type_symbol
_atom_site_fract_x
_atom_site_fract_y
_atom_site_fract_z
Hf1 Hf 0.0000 0.0000 0.0000
Fe1 Fe 0.0000 0.0000 0.5000
Pb1 Pb 0.5000 0.5000 0.5000
# Magnetization in μB per formula unit: 6.099
# ΔE_f in eV per atom: 1.293
# V in Å³ per cell: 104
# Total energy in eV/atom: -6.517
# Relative energy among the computed polymorphs in meV/atom: 0

=====

4.
# Tb2NdZr | Alexandria | PBE-GGA | optimized geometry
data_Tb2NdZr
_cell_length_a 4.9114
_cell_length_b 4.9114
_cell_length_c 4.9362
_cell_angle_alpha 90.00
_cell_angle_beta 90.00
_cell_angle_gamma 90.00
_space_group_name_H-M_alt 'P 4/m m m'
_space_group_IT_number 123
_space_group_name_Hall '-P 4 2'
loop_
_atom_site_label
_atom_site_type_symbol
_atom_site_fract_x
_atom_site_fract_y
_atom_site_fract_z
Tb1 Tb 0.0000 0.5000 0.0000
Nd1 Nd 0.0000 0.0000 0.5000
Zr1 Zr 0.5000 0.5000 0.5000
# Magnetization in μB per formula unit: 0.000
# ΔE_f in eV per atom: 0.115
# V in Å³ per cell: 119
# Total energy in eV/atom: -5.529
# Relative energy among the computed polymorphs in meV/atom: 25

=====

5.
# CsSrNb2 | Alexandria | PBE-GGA | optimized geometry
data_CsSrNb2
_cell_length_a 4.6308
_cell_length_b 4.6308
_cell_length_c 23.9335
_cell_angle_alpha 90.00
_cell_angle_beta 90.00
_cell_angle_gamma 90.00
_space_group_name_H-M_alt 'I -4 2 d'
_space_group_IT_number 122
_space_group_name_Hall 'I -4 2bw'
loop_
_atom_site_label
_atom_site_type_symbol
_atom_site_fract_x
_atom_site_fract_y
_atom_site_fract_z
Cs1 Cs 0.0000 0.0000 0.0000
Sr1 Sr 0.0000 0.0000 0.5000
Nb1 Nb 0.1131 0.7500 0.1250
# Magnetization in μB per formula unit: 0.000
# ΔE_f in eV per atom: 1.735
# V in Å³ per cell: 513
# Total energy in eV/atom: -3.934
# Relative energy among the computed polymorphs in meV/atom: 0

=====

6.
# Ta2AgW | Alexandria | PBE-GGA | optimized geometry
data_Ta2AgW
_cell_length_a 3.3004
_cell_length_b 3.3004
_cell_length_c 6.4861
_cell_angle_alpha 90.00
_cell_angle_beta 90.00
_cell_angle_gamma 90.00
_space_group_name_H-M_alt 'P 4/m m m'
_space_group_IT_number 123
_space_group_name_Hall '-P 4 2'
loop_
_atom_site_label
_atom_site_type_symbol
_atom_site_fract_x
_atom_site_fract_y
_atom_site_fract_z
Ta1 Ta 0.0000 0.0000 0.2308
Ag1 Ag 0.5000 0.5000 0.5000
W1 W 0.5000 0.5000 0.0000
# Magnetization in μB per formula unit: 0.000
# ΔE_f in eV per atom: 0.193
# V in Å³ per cell: 71
# Total energy in eV/atom: -9.684
# Relative energy among the computed polymorphs in meV/atom: 88